Below is LiHoSn after structural relaxation, with properties calculated at the GGA-PBEsol level.

The structure in POSCAR format:
```
LiHoSn
1.0
-5.815 -2.221 3.527
4.161 -8.045 1.795
0.872 7.063 5.884
Sn Ho Li
8 8 8
Direct
0.769 0.167 0.333
0.240 0.333 0.667
0.269 0.833 0.667
0.269 0.833 0.167
0.769 0.667 0.833
0.269 0.333 0.167
0.769 0.167 0.833
0.740 0.667 0.333
0.002 0.000 0.000
0.006 0.511 0.021
0.006 0.979 0.489
0.502 0.000 0.000
0.006 0.511 0.489
0.506 0.489 0.979
0.506 0.021 0.511
0.506 0.489 0.511
0.318 0.667 0.333
0.215 0.666 0.833
0.215 0.167 0.334
0.715 0.334 0.167
0.818 0.333 0.667
0.715 0.833 0.666
0.715 0.833 0.167
0.215 0.167 0.833
```

Properties
As for the space-group type: No. 186. As for the energy relative to the elements: -0.673 eV/atom. Its uncorrected energy is -105.6 eV per cell.